(1)
# TbSbN2O PBE optimized geometry
# SG: No. 194
# Total moment (μB per formula unit): 0.0
# Crystal system: hexagonal
# E (eV per atom): -6.67
data_TbSbN2O
_cell_length_a 5.7358
_cell_length_b 5.7358
_cell_length_c 14.0737
_cell_angle_alpha 90.00
_cell_angle_beta 90.00
_cell_angle_gamma 120.00
_space_group_name_H-M_alt 'P 1'
_space_group_IT_number 1
_space_group_name_Hall 'P 1'
loop_
_atom_site_label
_atom_site_type_symbol
_atom_site_fract_x
_atom_site_fract_y
_atom_site_fract_z
N1 N 0.1492 0.2985 0.0993
N2 N 0.1492 0.8508 0.0993
N3 N 0.7015 0.8508 0.0993
N4 N 0.1492 0.2985 0.4007
N5 N 0.1492 0.8508 0.4007
N6 N 0.7015 0.8508 0.4007
N7 N 0.2985 0.1492 0.5993
N8 N 0.8508 0.1492 0.5993
N9 N 0.8508 0.7015 0.5993
N10 N 0.2985 0.1492 0.9007
N11 N 0.8508 0.1492 0.9007
N12 N 0.8508 0.7015 0.9007
O1 O 0.5011 0.0022 0.2500
O2 O 0.9979 0.4989 0.2500
O3 O 0.5011 0.4989 0.2500
O4 O 0.4989 0.5011 0.7500
O5 O 0.0021 0.5011 0.7500
O6 O 0.4989 0.9978 0.7500
Sb1 Sb 0.0000 0.0000 0.0000
Sb2 Sb 0.3333 0.6667 0.1415
Sb3 Sb 0.3333 0.6667 0.3585
Sb4 Sb 0.0000 0.0000 0.5000
Sb5 Sb 0.6667 0.3333 0.6415
Sb6 Sb 0.6667 0.3333 0.8585
Tb1 Tb 0.6667 0.3333 0.1254
Tb2 Tb 0.0000 0.0000 0.2500
Tb3 Tb 0.6667 0.3333 0.3746
Tb4 Tb 0.3333 0.6667 0.6254
Tb5 Tb 0.0000 0.0000 0.7500
Tb6 Tb 0.3333 0.6667 0.8746

***

(2)
# NaSnAsOs PBE optimized geometry
# SG: No. 216
# Total moment (μB per formula unit): 0.0
# Crystal system: cubic
# E (eV per atom): -4.65
data_NaSnAsOs
_cell_length_a 4.7401
_cell_length_b 4.7401
_cell_length_c 4.7401
_cell_angle_alpha 60.00
_cell_angle_beta 60.00
_cell_angle_gamma 60.00
_space_group_name_H-M_alt 'P 1'
_space_group_IT_number 1
_space_group_name_Hall 'P 1'
loop_
_atom_site_label
_atom_site_type_symbol
_atom_site_fract_x
_atom_site_fract_y
_atom_site_fract_z
As1 As 0.5000 0.5000 0.5000
Na1 Na 0.7500 0.7500 0.7500
Os1 Os 0.0000 0.0000 0.0000
Sn1 Sn 0.2500 0.2500 0.2500

***

(3)
# Lu4CdAuN2 PBE optimized geometry
# SG: No. 187
# Total moment (μB per formula unit): 0.3
# Crystal system: hexagonal
# E (eV per atom): -5.95
data_Lu4CdAuN2
_cell_length_a 3.4072
_cell_length_b 3.4072
_cell_length_c 14.8816
_cell_angle_alpha 90.00
_cell_angle_beta 90.00
_cell_angle_gamma 120.00
_space_group_name_H-M_alt 'P 1'
_space_group_IT_number 1
_space_group_name_Hall 'P 1'
loop_
_atom_site_label
_atom_site_type_symbol
_atom_site_fract_x
_atom_site_fract_y
_atom_site_fract_z
Au1 Au 0.0000 0.0000 0.0000
Cd1 Cd 0.6667 0.3333 0.5000
Lu1 Lu 0.6667 0.3333 0.1483
Lu2 Lu 0.0000 0.0000 0.3269
Lu3 Lu 0.0000 0.0000 0.6731
Lu4 Lu 0.6667 0.3333 0.8517
N1 N 0.3333 0.6667 0.2438
N2 N 0.3333 0.6667 0.7562

***

(4)
# HgAsNO PBE optimized geometry
# SG: No. 26
# Crystal system: orthorhombic
# E (eV per atom): -4.45
data_HgAsNO
_cell_length_a 4.1944
_cell_length_b 5.0903
_cell_length_c 5.3125
_cell_angle_alpha 90.00
_cell_angle_beta 90.00
_cell_angle_gamma 90.00
_space_group_name_H-M_alt 'P 1'
_space_group_IT_number 1
_space_group_name_Hall 'P 1'
loop_
_atom_site_label
_atom_site_type_symbol
_atom_site_fract_x
_atom_site_fract_y
_atom_site_fract_z
As1 As 0.0000 0.4794 0.2927
As2 As 0.0000 0.9794 0.7073
Hg1 Hg 0.5000 0.9757 0.2134
Hg2 Hg 0.5000 0.4757 0.7866
N1 N 0.0000 0.8522 0.3637
N2 N 0.0000 0.3522 0.6363
O1 O 0.5000 0.4467 0.2496
O2 O 0.5000 0.9467 0.7504

***

(5)
# AlCoTe2 PBE optimized geometry
# SG: No. 216
# Total moment (μB per formula unit): 1.4
# Crystal system: cubic
# E (eV per atom): -3.62
data_AlCoTe2
_cell_length_a 4.8762
_cell_length_b 4.8762
_cell_length_c 4.8762
_cell_angle_alpha 60.00
_cell_angle_beta 60.00
_cell_angle_gamma 60.00
_space_group_name_H-M_alt 'P 1'
_space_group_IT_number 1
_space_group_name_Hall 'P 1'
loop_
_atom_site_label
_atom_site_type_symbol
_atom_site_fract_x
_atom_site_fract_y
_atom_site_fract_z
Al1 Al 0.5000 0.5000 0.5000
Co1 Co 0.2500 0.2500 0.2500
Te1 Te 0.0000 0.0000 0.0000
Te2 Te 0.7500 0.7500 0.7500

***

(6)
# PaGa2Br4 PBE optimized geometry
# SG: No. 111
# Total moment (μB per formula unit): 1.7
# Crystal system: tetragonal
# E (eV per atom): -3.76
data_PaGa2Br4
_cell_length_a 6.2243
_cell_length_b 6.2243
_cell_length_c 7.1940
_cell_angle_alpha 90.00
_cell_angle_beta 90.00
_cell_angle_gamma 90.00
_space_group_name_H-M_alt 'P 1'
_space_group_IT_number 1
_space_group_name_Hall 'P 1'
loop_
_atom_site_label
_atom_site_type_symbol
_atom_site_fract_x
_atom_site_fract_y
_atom_site_fract_z
Br1 Br 0.2166 0.2166 0.2955
Br2 Br 0.7834 0.7834 0.2955
Br3 Br 0.7834 0.2166 0.7045
Br4 Br 0.2166 0.7834 0.7045
Ga1 Ga 0.5000 0.0000 0.0000
Ga2 Ga 0.0000 0.5000 0.0000
Pa1 Pa 0.0000 0.0000 0.0000